(1)
This record from Alexandria via LeMat-Bulk describes an optimized crystal structure of Pr3Nd5H12. The functional is PBE-GGA.

Geometry as POSCAR:
```
Pr3Nd5H12
1.0
11.8923 0.0000 0.0000
-3.9641 11.2121 0.0000
-3.9641 -5.6061 9.7100
H Nd Pr
48 20 12
Direct
0.0660 0.4154 0.8405
0.5660 0.2255 0.1506
0.9340 0.5846 0.1595
0.5750 0.8494 0.4154
0.2255 0.6595 0.0750
0.0750 0.9154 0.3494
0.5660 0.3405 0.9154
0.9250 0.0846 0.6506
0.8494 0.5750 0.9154
0.4250 0.1506 0.5846
0.9250 0.8405 0.7745
0.2745 0.4250 0.8405
0.8405 0.9250 0.2745
0.0660 0.6506 0.7255
0.2745 0.8494 0.9340
0.3494 0.9340 0.7745
0.6506 0.5846 0.9250
0.1506 0.7255 0.5660
0.5846 0.6506 0.4250
0.6595 0.4340 0.5846
0.0846 0.1595 0.4340
0.7255 0.5750 0.1595
0.1506 0.4250 0.0846
0.3405 0.5660 0.4154
0.0750 0.1595 0.2255
0.9340 0.3494 0.2745
0.0846 0.9250 0.1506
0.7255 0.1506 0.0660
0.3494 0.4154 0.0750
0.4154 0.0660 0.3405
0.4340 0.6595 0.0846
0.1595 0.0750 0.7255
0.5750 0.7255 0.6595
0.2255 0.5660 0.6506
0.8405 0.9154 0.0660
0.5846 0.9340 0.6595
0.7745 0.3405 0.9250
0.7745 0.4340 0.3494
0.6506 0.0660 0.2255
0.9154 0.0750 0.8494
0.1595 0.0846 0.9340
0.4250 0.2745 0.3405
0.6595 0.2255 0.5750
0.8494 0.2745 0.4340
0.3405 0.7745 0.4250
0.9154 0.8405 0.5660
0.4340 0.7745 0.8494
0.4154 0.3494 0.5750
0.5000 0.0000 0.0000
0.1250 0.3750 0.2500
0.5000 0.5000 0.5000
0.2500 0.3750 0.6250
0.8750 0.6250 0.7500
0.6250 0.7500 0.8750
0.0000 0.5000 0.5000
0.3750 0.2500 0.1250
0.6250 0.8750 0.2500
0.3750 0.1250 0.7500
0.1250 0.7500 0.3750
0.8750 0.2500 0.6250
0.5000 0.0000 0.5000
0.5000 0.5000 0.0000
0.7500 0.6250 0.3750
0.0000 0.0000 0.5000
0.2500 0.8750 0.1250
0.0000 0.0000 0.0000
0.7500 0.1250 0.8750
0.0000 0.5000 0.0000
0.1250 0.2500 0.8750
0.8750 0.1250 0.2500
0.8750 0.7500 0.1250
0.3750 0.6250 0.2500
0.6250 0.3750 0.7500
0.2500 0.1250 0.3750
0.3750 0.7500 0.6250
0.1250 0.8750 0.7500
0.7500 0.8750 0.6250
0.7500 0.3750 0.1250
0.2500 0.6250 0.8750
0.6250 0.2500 0.3750
```

Calculated values
E: -347.7 eV per cell

(2)
This record from Alexandria via LeMat-Bulk describes an optimized crystal structure of BaHfRe2. The functional is PBE-GGA.

Geometry as POSCAR:
```
BaHfRe2
1.0
2.0290 1.6346 4.1356
-2.7044 2.4636 3.2417
-1.1683 -2.0600 4.2760
Hf Ba Re
1 1 2
Direct
0.5000 0.5000 0.5000
0.0000 0.0000 0.0000
0.7500 0.7500 0.7500
0.2500 0.2500 0.2500
```

Calculated values
Excess energy over the best structure of this formula in the dataset: 0.0 meV per atom
Calculated formation energy: 1118 meV/atom

(3)
This record from Alexandria via LeMat-Bulk describes an optimized crystal structure of Pm3Dy2Sb3. The functional is PBE-GGA.

Geometry as POSCAR:
```
Pm3Dy2Sb3
1.0
-2.5706 5.0627 3.0006
-6.4959 0.4969 -6.4034
-1.3249 -5.0967 7.4643
Pm Sb Dy
6 6 4
Direct
0.2500 0.7519 0.0000
0.7500 0.7519 0.7519
0.7500 0.2481 0.0000
0.2500 0.2481 0.2481
0.7500 0.0000 0.2481
0.2500 0.0000 0.7519
0.7500 0.6081 0.0000
0.2500 0.0000 0.3919
0.2500 0.3919 0.0000
0.7500 0.3919 0.3919
0.7500 0.0000 0.6081
0.2500 0.6081 0.6081
0.0000 0.3333 0.6667
0.0000 0.6667 0.3333
0.5000 0.6667 0.3333
0.5000 0.3333 0.6667
```

Calculated values
Formation energy from raw total energies: -738 kJ/mol of formula units

(4)
This record from Alexandria via LeMat-Bulk describes an optimized crystal structure of PmGdNiSn. The functional is PBE-GGA.

Geometry as POSCAR:
```
PmGdNiSn
1.0
5.1899 0.0000 0.0000
2.5950 4.4946 0.0000
2.5950 1.4982 4.2376
Gd Sn Pm Ni
1 1 1 1
Direct
0.2500 0.2500 0.2500
0.5000 0.5000 0.5000
0.7500 0.7500 0.7500
0.0000 0.0000 0.0000
```

Calculated values
Calculated formation energy: -410 meV/atom

(5)
This record from Alexandria via LeMat-Bulk describes an optimized crystal structure of Ca5LaIn6. The functional is PBE-GGA.

Geometry as POSCAR:
```
Ca5LaIn6
1.0
-2.4920 4.0064 2.7298
-6.9485 -3.1597 -1.7060
-0.9019 -2.4591 8.2283
In La Ca
6 1 5
Direct
0.5000 0.2564 0.0000
0.5000 0.7436 0.0000
0.1675 0.7424 0.6650
0.1675 0.2576 0.6650
0.8325 0.7424 0.3350
0.8325 0.2576 0.3350
0.0000 0.0000 0.0000
0.0000 0.5000 0.0000
0.3306 0.0000 0.3387
0.6658 0.5000 0.6685
0.3342 0.5000 0.3315
0.6694 0.0000 0.6613
```

Calculated values
Calculated formation energy: -484 meV/atom

(6)
This record from Alexandria via LeMat-Bulk describes an optimized crystal structure of TaSe2Br2. The functional is PBE-GGA.

Geometry as POSCAR:
```
TaSe2Br2
1.0
-5.2198 -3.8394 9.4633
-8.9509 -1.3949 7.0340
6.4682 0.4718 -9.4595
Ta Se Br
1 2 2
Direct
0.0000 0.0000 0.0000
0.4337 0.4337 0.0000
0.5663 0.5663 0.0000
0.7500 0.2500 0.5000
0.2500 0.7500 0.5000
```

Calculated values
Formation energy from raw total energies: 134 kJ/mol of formula units

(7)
This record from Alexandria via LeMat-Bulk describes an optimized crystal structure of TlGaSeN2. The functional is PBE-GGA.

Geometry as POSCAR:
```
TlGaSeN2
1.0
-3.5394 -0.8858 1.7622
-0.9960 -2.3219 -3.1677
2.3263 -4.3733 2.4741
Ga N Se Tl
1 2 1 1
Direct
0.0000 0.0000 0.0000
0.0000 0.5000 0.0000
0.5000 0.0000 0.0000
0.0000 0.0000 0.5000
0.5000 0.5000 0.5000
```

Calculated values
Formation energy from raw total energies: 509 kJ/mol of formula units
Excess energy over the best structure of this formula in the dataset: 0.0 meV per atom

(8)
This record from Alexandria via LeMat-Bulk describes an optimized crystal structure of Rb2ReBr6Cl. The functional is PBE-GGA.

Geometry as POSCAR:
```
Rb2ReBr6Cl
1.0
9.0533 0.0054 0.0235
4.5313 7.8337 0.0061
4.5436 2.6090 5.1066
Br Cl Re Rb
6 1 1 2
Direct
0.1902 0.0119 0.3358
0.4634 0.1908 0.3329
0.0116 0.4625 0.3360
0.4422 0.6203 0.7675
0.1689 0.4414 0.7703
0.6206 0.1697 0.7672
0.8166 0.8160 0.5512
0.3161 0.3161 0.0516
0.0208 0.0216 0.9368
0.6110 0.6113 0.1658
```

Calculated values
Formation energy from raw total energies: -816 kJ/mol of formula units
Excess energy over the best structure of this formula in the dataset: 0.0 meV per atom

(9)
This record from Alexandria via LeMat-Bulk describes an optimized crystal structure of CrSn2Pt2. The functional is PBE-GGA.

Geometry as POSCAR:
```
CrSn2Pt2
1.0
-2.8706 2.8608 -0.8797
-2.3365 -1.3802 3.1360
0.0727 4.5552 4.8012
Pt Cr Sn
2 1 2
Direct
0.6072 0.6072 0.7856
0.3928 0.3928 0.2144
0.0000 0.0000 0.0000
0.7500 0.2500 0.5000
0.2500 0.7500 0.5000
```

Calculated values
Excess energy over the best structure of this formula in the dataset: 307.2 meV per atom
Calculated formation energy: 463 meV/atom

(10)
This record from Alexandria via LeMat-Bulk describes an optimized crystal structure of Zr2Ga2Bi. The functional is PBE-GGA.

Geometry as POSCAR:
```
Zr2Ga2Bi
1.0
-6.5774 3.3365 -0.8744
-1.5502 -1.1776 7.1672
1.6007 3.3924 0.9036
Bi Zr Ga
2 4 4
Direct
0.0000 0.0000 0.0000
0.5000 0.5000 0.0000
0.8190 0.3190 0.5000
0.3190 0.1810 0.5000
0.1810 0.6810 0.5000
0.6810 0.8190 0.5000
0.6174 0.1174 0.0000
0.8826 0.6174 0.0000
0.3826 0.8826 0.0000
0.1174 0.3826 0.0000
```

Calculated values
Excess energy over the best structure of this formula in the dataset: 0.0 meV per atom
Calculated formation energy: -302 meV/atom

(11)
This record from Alexandria via LeMat-Bulk describes an optimized crystal structure of Ta2SiBMo. The functional is PBE-GGA.

Geometry as POSCAR:
```
Ta2SiBMo
1.0
4.8261 0.0000 0.0000
0.0000 4.5580 0.0000
0.0000 0.0000 4.8261
Si Ta B Mo
1 2 1 1
Direct
0.0000 0.5000 0.0000
0.0000 0.0000 0.5000
0.5000 0.0000 0.0000
0.5000 0.5000 0.5000
0.0000 0.0000 0.0000
```

Calculated values
Formation energy from raw total energies: 970 kJ/mol of formula units

(12)
This record from Alexandria via LeMat-Bulk describes an optimized crystal structure of PuMg4Pd15. The functional is PBE-GGA.

Geometry as POSCAR:
```
PuMg4Pd15
1.0
-3.7659 1.1869 0.7813
0.7365 -0.2623 3.9484
5.9987 18.9420 0.1393
Pd Mg Pu
15 4 1
Direct
0.5000 0.5000 0.7941
0.5000 0.0000 0.1062
0.0000 0.5000 0.5000
0.5000 0.5000 0.4027
0.0000 0.5000 0.3045
0.5000 0.5000 0.5973
0.5000 0.5000 0.0000
0.0000 0.5000 0.6955
0.5000 0.5000 0.2059
0.5000 0.0000 0.6955
0.5000 0.0000 0.3045
0.0000 0.5000 0.1062
0.5000 0.0000 0.5000
0.0000 0.5000 0.8938
0.5000 0.0000 0.8938
0.0000 0.0000 0.5983
0.0000 0.0000 0.7931
0.0000 0.0000 0.4017
0.0000 0.0000 0.2069
0.0000 0.0000 0.0000
```

Calculated values
Calculated formation energy: -486 meV/atom

no.,magnetization (μB/f.u.),Fermi-level density of states (states/eV per atom)
1,0.0,0.8177
2,0.0,0.7828
3,0.0,1.0369
4,7.3,0.7072
5,0.0,0.3753
6,0.6,0.6054
7,3.1,0.3812
8,2.0,0.5867
9,0.0,1.0120
10,0.0,0.9682
11,0.0,1.0434
12,4.3,1.6586